This record from OQMD describes a geometry-optimized RbNdSeO structure. The functional is PBE-GGA.

Cell lengths 6.000, 6.004, 12.290 Å; angles 90.00, 105.51, 90.00 degrees
Sites, in units of the cell vectors:
Nd 0.952 0.354 0.908
Nd 0.048 0.854 0.092
Nd 0.452 0.855 0.908
Nd 0.548 0.355 0.092
Rb 0.443 0.620 0.396
Rb 0.942 0.121 0.395
Rb 0.058 0.621 0.605
Rb 0.557 0.120 0.604
Se 0.378 0.123 0.280
Se 0.879 0.624 0.280
Se 0.622 0.623 0.720
Se 0.121 0.124 0.720
O 0.250 0.102 0.000
O 0.250 0.603 0.000
O 0.750 0.602 0.000
O 0.750 0.103 0.000

calculated total energy	-22.84	eV/f.u.
ρ	5.06	Mg/m³